Entry 1:
! PBEsol Ga2HPb2, relaxed; values from VASP
&SYSTEM
  ibrav = 0, nat = 10, ntyp = 3
/
ATOMIC_SPECIES
Ga 69.72 Ga.upf
H 1.01 H.upf
Pb 207.20 Pb.upf
CELL_PARAMETERS angstrom
4.764 0.000 0.000
0.000 4.764 0.000
0.000 0.000 11.184
ATOMIC_POSITIONS crystal
Ga 0.000 0.000 0.107
Ga 0.000 0.000 0.893
Ga 0.500 0.500 0.393
Ga 0.500 0.500 0.607
H 0.000 0.000 0.500
H 0.500 0.500 0.000
Pb 0.000 0.500 0.250
Pb 0.000 0.500 0.750
Pb 0.500 0.000 0.250
Pb 0.500 0.000 0.750
! - Raw total energy: -2.986 eV per atom
! - Space-group type: I4/mmm
! - DOS(E_F): 4.94 states/eV per cell
! - Volume: 253.8 Å³/cell
! - Crystal system: tetragonal



Entry 2:
! PBEsol GaHPb3, relaxed; values from VASP
&SYSTEM
  ibrav = 0, nat = 5, ntyp = 3
/
ATOMIC_SPECIES
Ga 69.72 Ga.upf
H 1.01 H.upf
Pb 207.20 Pb.upf
CELL_PARAMETERS angstrom
4.852 0.000 0.000
0.000 4.852 0.000
0.000 0.000 4.852
ATOMIC_POSITIONS crystal
Ga 0.000 0.000 0.000
H 0.500 0.500 0.500
Pb 0.000 0.500 0.500
Pb 0.500 0.000 0.500
Pb 0.500 0.500 0.000
! - Raw total energy: -3.490 eV per atom
! - Space-group type: Pm-3m
! - DOS(E_F): 2.00 states/eV per cell
! - Volume: 114.2 Å³/cell
! - Crystal system: cubic



Entry 3:
! PBEsol GaHPd2, relaxed; values from VASP
&SYSTEM
  ibrav = 0, nat = 16, ntyp = 3
/
ATOMIC_SPECIES
Ga 69.72 Ga.upf
H 1.01 H.upf
Pd 106.42 Pd.upf
CELL_PARAMETERS angstrom
5.888 0.000 0.000
0.000 5.888 0.000
0.000 0.000 5.399
ATOMIC_POSITIONS crystal
Ga 0.000 0.000 0.000
Ga 0.000 0.500 0.250
Ga 0.500 0.000 0.750
Ga 0.500 0.500 0.500
H 0.000 0.000 0.500
H 0.000 0.500 0.750
H 0.500 0.000 0.250
H 0.500 0.500 0.000
Pd 0.157 0.750 0.625
Pd 0.250 0.157 0.375
Pd 0.250 0.343 0.875
Pd 0.343 0.750 0.125
Pd 0.657 0.250 0.125
Pd 0.750 0.657 0.875
Pd 0.750 0.843 0.375
Pd 0.843 0.250 0.625
! - Raw total energy: -5.051 eV per atom
! - Space-group type: I-42d
! - DOS(E_F): 2.89 states/eV per cell
! - Volume: 187.2 Å³/cell
! - Crystal system: tetragonal



Entry 4:
! PBEsol GaHPt3, relaxed; values from VASP
&SYSTEM
  ibrav = 0, nat = 5, ntyp = 3
/
ATOMIC_SPECIES
Ga 69.72 Ga.upf
H 1.01 H.upf
Pt 195.08 Pt.upf
CELL_PARAMETERS angstrom
3.962 0.000 0.000
0.000 3.962 0.000
0.000 0.000 3.962
ATOMIC_POSITIONS crystal
Ga 0.000 0.000 0.000
H 0.500 0.500 0.500
Pt 0.000 0.500 0.500
Pt 0.500 0.000 0.500
Pt 0.500 0.500 0.000
! - Raw total energy: -5.782 eV per atom
! - Space-group type: Pm-3m
! - DOS(E_F): 1.16 states/eV per cell
! - Volume: 62.2 Å³/cell
! - Crystal system: cubic



Entry 5:
! PBEsol RbGaH2, relaxed; values from VASP
&SYSTEM
  ibrav = 0, nat = 16, ntyp = 3
/
ATOMIC_SPECIES
Rb 85.47 Rb.upf
Ga 69.72 Ga.upf
H 1.01 H.upf
CELL_PARAMETERS angstrom
7.362 0.000 0.000
0.000 4.448 0.000
0.000 0.000 9.179
ATOMIC_POSITIONS crystal
Rb 0.123 0.250 0.172
Rb 0.377 0.750 0.672
Rb 0.623 0.250 0.328
Rb 0.877 0.750 0.828
Ga 0.063 0.250 0.535
Ga 0.437 0.750 0.035
Ga 0.563 0.250 0.965
Ga 0.937 0.750 0.465
H 0.104 0.250 0.712
H 0.221 0.750 0.980
H 0.279 0.250 0.480
H 0.396 0.750 0.212
H 0.604 0.250 0.788
H 0.721 0.750 0.520
H 0.779 0.250 0.020
H 0.896 0.750 0.288
! - Raw total energy: -2.968 eV per atom
! - Space-group type: Pnma
! - DOS(E_F): 0.00 states/eV per cell
! - Volume: 300.6 Å³/cell
! - Crystal system: orthorhombic



Entry 6:
! PBEsol RbSrGaH2, relaxed; values from VASP
&SYSTEM
  ibrav = 0, nat = 5, ntyp = 4
/
ATOMIC_SPECIES
Rb 85.47 Rb.upf
Sr 87.62 Sr.upf
Ga 69.72 Ga.upf
H 1.01 H.upf
CELL_PARAMETERS angstrom
4.903 0.000 0.000
0.000 4.903 0.000
0.000 0.000 5.775
ATOMIC_POSITIONS crystal
Rb 0.000 0.000 0.000
Sr 0.500 0.500 0.500
Ga 0.000 0.000 0.500
H 0.000 0.500 0.000
H 0.500 0.000 0.000
! - Raw total energy: -2.029 eV per atom
! - Space-group type: P4/mmm
! - DOS(E_F): 3.13 states/eV per cell
! - Volume: 138.8 Å³/cell
! - Crystal system: tetragonal



Entry 7:
! PBEsol Rb2GaHW, relaxed; values from VASP
&SYSTEM
  ibrav = 0, nat = 5, ntyp = 4
/
ATOMIC_SPECIES
Rb 85.47 Rb.upf
Ga 69.72 Ga.upf
H 1.01 H.upf
W 183.84 W.upf
CELL_PARAMETERS angstrom
6.830 0.000 0.000
0.000 6.830 0.000
0.000 0.000 3.231
ATOMIC_POSITIONS crystal
Rb 0.000 0.500 0.000
Rb 0.500 0.000 0.000
Ga 0.000 0.000 0.000
H 0.000 0.000 0.500
W 0.500 0.500 0.500
! - Raw total energy: -2.914 eV per atom
! - Space-group type: P4/mmm
! - DOS(E_F): 3.84 states/eV per cell
! - Volume: 150.7 Å³/cell
! - Crystal system: tetragonal



Entry 8:
! PBEsol Ga3ReH, relaxed; values from VASP
&SYSTEM
  ibrav = 0, nat = 5, ntyp = 3
/
ATOMIC_SPECIES
Ga 69.72 Ga.upf
Re 186.21 Re.upf
H 1.01 H.upf
CELL_PARAMETERS angstrom
4.797 0.000 0.000
0.000 4.797 0.000
0.000 0.000 4.797
ATOMIC_POSITIONS crystal
Ga 0.000 0.000 0.500
Ga 0.000 0.500 0.000
Ga 0.500 0.000 0.000
Re 0.000 0.000 0.000
H 0.500 0.500 0.500
! - Raw total energy: -4.566 eV per atom
! - Space-group type: Pm-3m
! - DOS(E_F): 1.92 states/eV per cell
! - Volume: 110.4 Å³/cell
! - Crystal system: cubic



Entry 9:
! PBEsol Ti2GaReH, relaxed; values from VASP
&SYSTEM
  ibrav = 0, nat = 5, ntyp = 4
/
ATOMIC_SPECIES
Ti 47.87 Ti.upf
Ga 69.72 Ga.upf
Re 186.21 Re.upf
H 1.01 H.upf
CELL_PARAMETERS angstrom
4.796 0.000 0.000
0.000 4.796 0.000
0.000 0.000 3.093
ATOMIC_POSITIONS crystal
Ti 0.000 0.500 0.000
Ti 0.500 0.000 0.000
Ga 0.000 0.000 0.000
Re 0.500 0.500 0.500
H 0.000 0.000 0.500
! - Raw total energy: -6.609 eV per atom
! - Space-group type: P4/mmm
! - DOS(E_F): 5.31 states/eV per cell
! - Volume: 71.1 Å³/cell
! - Crystal system: tetragonal



Entry 10:
! PBEsol GaH2Ru2, relaxed; values from VASP
&SYSTEM
  ibrav = 0, nat = 10, ntyp = 3
/
ATOMIC_SPECIES
Ga 69.72 Ga.upf
H 1.01 H.upf
Ru 101.07 Ru.upf
CELL_PARAMETERS angstrom
3.005 0.000 0.000
0.000 3.005 0.000
0.000 0.000 10.235
ATOMIC_POSITIONS crystal
Ga 0.000 0.000 0.000
Ga 0.500 0.500 0.500
H 0.000 0.500 0.250
H 0.000 0.500 0.750
H 0.500 0.000 0.250
H 0.500 0.000 0.750
Ru 0.000 0.000 0.356
Ru 0.000 0.000 0.644
Ru 0.500 0.500 0.144
Ru 0.500 0.500 0.856
! - Raw total energy: -6.099 eV per atom
! - Space-group type: I4/mmm
! - DOS(E_F): 8.08 states/eV per cell
! - Volume: 92.4 Å³/cell
! - Crystal system: tetragonal



Entry 11:
! PBEsol GaSiH2Ru, relaxed; values from VASP
&SYSTEM
  ibrav = 0, nat = 5, ntyp = 4
/
ATOMIC_SPECIES
Ga 69.72 Ga.upf
Si 28.09 Si.upf
H 1.01 H.upf
Ru 101.07 Ru.upf
CELL_PARAMETERS angstrom
3.377 0.000 0.000
0.000 3.377 0.000
0.000 0.000 5.385
ATOMIC_POSITIONS crystal
Ga 0.000 0.000 0.000
Si 0.000 0.000 0.500
H 0.000 0.500 0.500
H 0.500 0.000 0.500
Ru 0.500 0.500 0.000
! - Raw total energy: -4.519 eV per atom
! - Space-group type: P4/mmm
! - DOS(E_F): 3.16 states/eV per cell
! - Volume: 61.4 Å³/cell
! - Crystal system: tetragonal



Entry 12:
! PBEsol TaGaHRu2, relaxed; values from VASP
&SYSTEM
  ibrav = 0, nat = 5, ntyp = 4
/
ATOMIC_SPECIES
Ta 180.95 Ta.upf
Ga 69.72 Ga.upf
H 1.01 H.upf
Ru 101.07 Ru.upf
CELL_PARAMETERS angstrom
4.073 0.000 0.000
0.000 4.073 0.000
0.000 0.000 3.621
ATOMIC_POSITIONS crystal
Ta 0.000 0.000 0.000
Ga 0.500 0.500 0.000
H 0.500 0.500 0.500
Ru 0.000 0.500 0.500
Ru 0.500 0.000 0.500
! - Raw total energy: -7.965 eV per atom
! - Space-group type: P4/mmm
! - DOS(E_F): 2.27 states/eV per cell
! - Volume: 60.0 Å³/cell
! - Crystal system: tetragonal



Entry 13:
! PBEsol GaSb2H, relaxed; values from VASP
&SYSTEM
  ibrav = 0, nat = 16, ntyp = 3
/
ATOMIC_SPECIES
Ga 69.72 Ga.upf
Sb 121.76 Sb.upf
H 1.01 H.upf
CELL_PARAMETERS angstrom
5.771 0.000 0.000
0.000 5.771 0.000
0.000 0.000 10.286
ATOMIC_POSITIONS crystal
Ga 0.000 0.000 0.000
Ga 0.000 0.500 0.250
Ga 0.500 0.000 0.750
Ga 0.500 0.500 0.500
Sb 0.173 0.250 0.625
Sb 0.250 0.673 0.875
Sb 0.250 0.827 0.375
Sb 0.327 0.250 0.125
Sb 0.673 0.750 0.125
Sb 0.750 0.173 0.375
Sb 0.750 0.327 0.875
Sb 0.827 0.750 0.625
H 0.000 0.000 0.500
H 0.000 0.500 0.750
H 0.500 0.000 0.250
H 0.500 0.500 0.000
! - Raw total energy: -3.584 eV per atom
! - Space-group type: I-42d
! - DOS(E_F): 8.25 states/eV per cell
! - Volume: 342.6 Å³/cell
! - Crystal system: tetragonal



Entry 14:
! PBEsol GaSbH2Se, relaxed; values from VASP
&SYSTEM
  ibrav = 0, nat = 5, ntyp = 4
/
ATOMIC_SPECIES
Ga 69.72 Ga.upf
Sb 121.76 Sb.upf
H 1.01 H.upf
Se 78.96 Se.upf
CELL_PARAMETERS angstrom
3.873 0.000 0.000
0.000 3.873 0.000
0.000 0.000 5.513
ATOMIC_POSITIONS crystal
Ga 0.000 0.000 0.000
Sb 0.500 0.500 0.500
H 0.000 0.500 0.000
H 0.500 0.000 0.000
Se 0.000 0.000 0.500
! - Raw total energy: -3.399 eV per atom
! - Space-group type: P4/mmm
! - DOS(E_F): 2.36 states/eV per cell
! - Volume: 82.7 Å³/cell
! - Crystal system: tetragonal